[1]
PBE MnTl2Co, optimized geometry; energy = -4.625 eV/atom; total moment = 5.08 μB per formula unit; space-group type = Immm
1.0
-3.838 -1.502 -3.498
1.258 -4.796 -2.153
-1.150 2.518 4.643
Tl Co Mn
2 1 1
direct
0.986 0.986 0.000
0.514 0.514 0.000
0.750 0.250 0.500
0.250 0.750 0.500

***

[2]
PBE YMnTl2Co, optimized geometry; energy = -4.982 eV/atom; total moment = 1.97 μB per formula unit; space-group type = P4/mmm
1.0
5.112 0.000 0.000
0.000 4.280 0.000
0.000 0.000 5.112
Co Tl Mn Y
1 2 1 1
direct
0.000 0.500 0.000
0.000 0.000 0.500
0.500 0.000 0.000
0.000 0.000 0.000
0.500 0.500 0.500

***

[3]
PBE Tm2Mn2Co15, optimized geometry; energy = -7.154 eV/atom; total moment = 28.32 μB per formula unit; space-group type = R-3m
1.0
-5.415 -2.043 -2.435
-2.627 -1.867 5.388
-3.355 5.197 1.078
Co Tm Mn
15 2 2
direct
0.000 0.000 0.500
0.351 0.351 0.845
0.500 0.000 0.000
0.351 0.845 0.351
0.649 0.155 0.649
0.000 0.289 0.711
0.289 0.711 0.000
0.845 0.351 0.351
0.649 0.649 0.155
0.711 0.289 0.000
0.711 0.000 0.289
0.289 0.000 0.711
0.155 0.649 0.649
0.000 0.711 0.289
0.000 0.500 0.000
0.348 0.348 0.348
0.652 0.652 0.652
0.105 0.105 0.105
0.895 0.895 0.895

***

[4]
PBE Tm3Mn2Co7, optimized geometry; energy = -6.986 eV/atom; total moment = 11.30 μB per formula unit; space-group type = R-3m
1.0
4.828 0.000 1.511
2.178 4.309 1.511
0.048 0.029 8.315
Tm Mn Co
3 2 7
direct
0.141 0.141 0.578
0.000 0.000 0.000
0.859 0.859 0.422
0.666 0.666 0.002
0.334 0.334 0.998
0.920 0.417 0.247
0.417 0.920 0.247
0.417 0.417 0.247
0.080 0.583 0.753
0.583 0.080 0.753
0.500 0.500 0.500
0.583 0.583 0.753

***

[5]
PBE TmMn2Co9, optimized geometry; energy = -7.262 eV/atom; total moment = 21.50 μB per formula unit; space-group type = R-3m
1.0
4.606 0.000 1.371
2.099 4.100 1.371
0.058 0.035 8.230
Co Mn Tm
9 2 1
direct
0.409 0.922 0.259
0.664 0.664 0.008
0.078 0.591 0.741
0.409 0.409 0.259
0.500 0.500 0.500
0.922 0.409 0.259
0.336 0.336 0.992
0.591 0.078 0.741
0.591 0.591 0.741
0.856 0.856 0.433
0.144 0.144 0.567
0.000 0.000 0.000

***

[6]
PBE TmMnCo, optimized geometry; energy = -7.053 eV/atom; total moment = 3.01 μB per formula unit; space-group type = Imma
1.0
-3.556 -2.980 2.034
4.807 -1.598 0.080
1.119 4.342 2.358
Co Mn Tm
2 2 2
direct
0.500 0.000 0.500
0.000 0.500 0.500
0.000 0.500 0.000
0.500 0.500 0.500
0.750 0.880 0.130
0.250 0.120 0.870

***

[7]
PBE TmMnCo, optimized geometry; energy = -6.933 eV/atom; total moment = 1.94 μB per formula unit; space-group type = P-6m2
1.0
-0.264 3.732 -1.607
-1.377 -1.499 -3.255
-2.407 1.037 2.805
Mn Tm Co
1 1 1
direct
0.167 0.667 0.333
0.667 0.333 0.667
0.167 0.000 0.000

***

[8]
PBE YTmMnCo, optimized geometry; energy = -6.750 eV/atom; total moment = 4.16 μB per formula unit; space-group type = F-43m
1.0
-4.538 1.615 0.645
-2.836 0.880 -3.847
-3.773 -2.910 -0.954
Co Mn Tm Y
1 1 1 1
direct
0.500 0.500 0.500
0.000 0.000 0.000
0.750 0.750 0.750
0.250 0.250 0.250

***

[9]
PBE Tm2MnZn12Co3, optimized geometry; energy = -2.996 eV/atom; total moment = 4.18 μB per formula unit; space-group type = R-3m
1.0
-3.115 3.995 4.193
0.552 -3.974 5.210
5.447 2.810 2.382
Zn Co Mn Tm
12 3 1 2
direct
0.429 0.845 0.429
0.845 0.429 0.429
0.196 0.719 0.196
0.281 0.804 0.804
0.196 0.196 0.719
0.429 0.429 0.845
0.804 0.804 0.281
0.571 0.571 0.155
0.719 0.196 0.196
0.155 0.571 0.571
0.571 0.155 0.571
0.804 0.281 0.804
0.000 0.500 0.000
0.000 0.000 0.500
0.500 0.000 0.000
0.000 0.000 0.000
0.237 0.237 0.237
0.763 0.763 0.763

***

[10]
PBE UMnCo4, optimized geometry; energy = -8.239 eV/atom; total moment = 6.80 μB per formula unit; space-group type = F-43m
1.0
-4.110 -0.915 -2.400
0.095 -2.693 -4.028
-1.879 -4.468 0.027
Mn Co U
1 4 1
direct
0.000 0.000 0.000
0.626 0.626 0.626
0.626 0.626 0.122
0.626 0.122 0.626
0.122 0.626 0.626
0.250 0.250 0.250

***

[11]
PBE UMnCo, optimized geometry; energy = -9.101 eV/atom; total moment = 2.50 μB per formula unit; space-group type = I4mm
1.0
-0.005 0.796 -2.741
2.449 -1.406 -0.412
-4.044 -4.225 0.266
U Mn Co
1 1 1
direct
0.338 0.338 0.676
0.646 0.646 0.293
0.016 0.016 0.032

***

[12]
PBE U4MnCo15, optimized geometry; energy = -8.231 eV/atom; total moment = 9.71 μB per formula unit; space-group type = P4/mmm
1.0
-2.164 -2.814 -1.201
2.609 -0.928 -2.525
7.791 -11.178 12.161
Co Mn U
15 1 4
direct
0.000 0.500 0.092
0.500 0.000 0.092
0.500 0.500 0.000
0.500 0.500 0.398
0.500 0.000 0.500
0.500 0.500 0.807
0.000 0.500 0.908
0.500 0.500 0.193
0.500 0.000 0.908
0.000 0.500 0.500
0.500 0.000 0.295
0.500 0.500 0.602
0.500 0.000 0.705
0.000 0.500 0.295
0.000 0.500 0.705
0.000 0.000 0.000
0.000 0.000 0.603
0.000 0.000 0.190
0.000 0.000 0.810
0.000 0.000 0.397

***

[13]
PBE UMnCo, optimized geometry; energy = -8.975 eV/atom; total moment = 0.27 μB per formula unit; space-group type = P3m1
1.0
-2.858 -2.360 -0.376
2.785 -0.805 2.341
-1.912 1.851 2.911
Mn U Co
1 1 1
direct
0.333 0.667 0.739
0.667 0.333 0.341
0.000 0.000 0.920

***

[14]
PBE UMnCo6, optimized geometry; energy = -7.955 eV/atom; total moment = 7.78 μB per formula unit; space-group type = Cmmm
1.0
6.329 0.283 0.000
-2.394 5.866 0.000
0.000 0.000 10.356
U Mn Co
4 4 24
direct
0.000 0.000 0.490
0.000 0.000 0.010
0.252 0.748 0.750
0.748 0.252 0.750
0.759 0.241 0.250
0.241 0.759 0.250
0.500 0.500 0.500
0.500 0.500 0.000
0.624 0.871 0.879
0.000 0.000 0.750
0.871 0.624 0.621
0.376 0.129 0.621
0.867 0.612 0.370
0.376 0.129 0.879
0.133 0.388 0.370
0.867 0.612 0.130
0.133 0.388 0.130
0.388 0.133 0.370
0.000 0.000 0.250
0.624 0.871 0.621
0.388 0.133 0.130
0.871 0.624 0.879
0.612 0.867 0.370
0.129 0.376 0.879
0.252 0.748 0.006
0.252 0.748 0.494
0.500 0.500 0.750
0.500 0.500 0.250
0.748 0.252 0.006
0.612 0.867 0.130
0.129 0.376 0.621
0.748 0.252 0.494

***

[15]
PBE UMnCo, optimized geometry; energy = -9.320 eV/atom; total moment = 0.62 μB per formula unit; space-group type = Imma
1.0
1.943 1.089 4.452
-3.223 3.731 0.684
-1.514 -4.631 -1.020
Co U Mn
2 2 2
direct
0.000 0.500 0.500
0.500 0.500 0.000
0.123 0.873 0.250
0.877 0.127 0.750
0.500 0.500 0.500
0.500 0.000 0.000

***

[16]
PBE UMnZnCo, optimized geometry; energy = -7.139 eV/atom; total moment = 0.30 μB per formula unit; space-group type = F-43m
1.0
-1.789 -0.053 3.993
2.055 -2.022 3.292
1.791 2.346 3.231
U Zn Co Mn
1 1 1 1
direct
0.000 0.000 0.000
0.500 0.500 0.500
0.750 0.750 0.750
0.250 0.250 0.250

***

[17]
PBE Mn5VCo6, optimized geometry; energy = -8.190 eV/atom; total moment = 21.95 μB per formula unit; space-group type = Cmmm
1.0
3.969 0.002 -0.828
-0.003 5.736 -0.001
-0.741 0.000 6.370
Co Mn V
6 5 1
direct
0.500 0.246 0.000
0.165 0.247 0.331
0.500 0.754 0.000
0.835 0.753 0.669
0.835 0.247 0.669
0.165 0.753 0.331
0.668 0.000 0.335
0.334 0.500 0.667
0.332 0.000 0.665
0.666 0.500 0.333
0.000 0.500 0.000
0.000 0.000 0.000

***

[18]
PBE Mn3VCo3, optimized geometry; energy = -8.134 eV/atom; total moment = 11.61 μB per formula unit; space-group type = Cmmm
1.0
-0.789 3.388 -4.516
-5.595 -1.085 0.127
-0.758 4.299 3.357
V Co Mn
2 6 6
direct
0.734 0.734 0.000
0.266 0.266 0.000
0.000 0.500 0.246
0.000 0.000 0.240
0.000 0.000 0.760
0.500 0.000 0.754
0.500 0.000 0.246
0.000 0.500 0.754
0.744 0.256 0.500
0.742 0.742 0.500
0.256 0.744 0.500
0.729 0.271 0.000
0.271 0.729 0.000
0.258 0.258 0.500

***

[19]
PBE MnV3Co, optimized geometry; energy = -7.891 eV/atom; total moment = 1.98 μB per formula unit; space-group type = Pm-3m
1.0
4.312 0.000 0.000
0.000 4.312 0.000
0.000 0.000 4.312
Co V Mn
1 3 1
direct
0.000 0.000 0.000
0.000 0.000 0.500
0.000 0.500 0.000
0.500 0.000 0.000
0.500 0.500 0.500

***

[20]
PBE Mn3V4Co, optimized geometry; energy = -9.108 eV/atom; total moment = 1.53 μB per formula unit; space-group type = Pmmm
1.0
2.889 0.000 0.000
0.000 4.070 0.000
0.000 0.000 8.110
V Mn Co
4 3 1
direct
0.000 0.000 0.500
0.000 0.000 0.000
0.000 0.500 0.747
0.000 0.500 0.253
0.500 0.000 0.248
0.500 0.500 0.500
0.500 0.000 0.752
0.500 0.500 0.000